Compound: V2TcOs
Source: Alexandria
Functional: meta-GGA SCAN
Structure: PBEsol geometry

Cell lengths 4.224, 4.224, 4.224 Å; angles 60.00, 60.00, 60.00 degrees
Positions (direct):
V 0.250 0.250 0.250
V 0.750 0.750 0.750
Tc 0.000 0.000 0.000
Os 0.500 0.500 0.500

Calculated values
* SG: Fm-3m
* energy relative to the elements: -1.99 eV/f.u.
* spin magnetization: 0.50 Bohr magnetons per cell

Compound: ZnTcOs2W
Source: Alexandria
Functional: meta-GGA SCAN
Structure: PBEsol geometry

Cell lengths 4.337, 4.337, 4.418 Å; angles 90.00, 90.00, 90.00 degrees
Positions (direct):
Zn 0.000 0.000 0.000
Tc 0.500 0.500 0.500
Os 0.000 0.500 0.000
Os 0.500 0.000 0.000
W 0.000 0.000 0.500

Calculated values
* SG: P4/mmm
* energy relative to the elements: 10.39 eV/f.u.
* spin magnetization: 0.93 Bohr magnetons per cell

Compound: Y2TcOs
Source: Alexandria
Functional: meta-GGA SCAN
Structure: PBEsol geometry

Cell lengths 3.377, 4.436, 5.022 Å; angles 90.00, 90.00, 90.00 degrees
Positions (direct):
Y 0.000 0.000 0.000
Y 0.500 0.000 0.500
Tc 0.000 0.500 0.500
Os 0.500 0.500 0.000

Calculated values
* SG: Pmmm
* energy relative to the elements: 1.12 eV/f.u.
* spin magnetization: 0.00 Bohr magnetons per cell

Compound: Y2TcOs
Source: Alexandria
Functional: meta-GGA SCAN
Structure: PBEsol geometry

Cell lengths 5.778, 5.778, 5.778 Å; angles 147.00, 131.60, 59.84 degrees
Positions (direct):
Y 0.000 0.000 0.000
Y 0.724 0.224 0.500
Tc 0.463 0.463 0.000
Os 0.258 0.758 0.500

Calculated values
* SG: Imm2
* energy relative to the elements: -0.20 eV/f.u.
* spin magnetization: 0.00 Bohr magnetons per cell

Compound: Y2TcOs
Source: Alexandria
Functional: meta-GGA SCAN
Structure: PBEsol geometry

Cell lengths 5.626, 5.626, 5.626 Å; angles 138.51, 138.51, 60.13 degrees
Positions (direct):
Y 0.000 0.000 0.000
Y 0.750 0.250 0.500
Tc 0.250 0.750 0.500
Os 0.500 0.500 0.000

Calculated values
* SG: I-4m2
* energy relative to the elements: 1.12 eV/f.u.
* spin magnetization: 0.00 Bohr magnetons per cell

Compound: Y3TcOs
Source: Alexandria
Functional: meta-GGA SCAN
Structure: PBEsol geometry

Cell lengths 4.998, 4.998, 4.998 Å; angles 90.00, 90.00, 90.00 degrees
Positions (direct):
Y 0.000 0.000 0.500
Y 0.000 0.500 0.000
Y 0.500 0.000 0.000
Tc 0.000 0.000 0.000
Os 0.500 0.500 0.500

Calculated values
* SG: Pm-3m
* energy relative to the elements: 4.06 eV/f.u.
* spin magnetization: 0.59 Bohr magnetons per cell

- The highest energy relative to the elements belongs to which entry?
  ZnTcOs2W

- Among the records above, which one has the highest energy relative to the elements?
  ZnTcOs2W

- Among the records above, which one has the lowest energy relative to the elements?
  V2TcOs

- Among the records above, which one has the lowest energy relative to the elements?
  V2TcOs